VASP calculation (PBE-GGA) on an optimized crystal structure of TbCe2Pt.

The structure in extended XYZ format:
```
4
Lattice="3.7467 0.0000 0.0000 0.0000 3.7467 0.0000 0.0000 0.0000 7.6024" Properties=species:S:1:pos:R:3 pbc="T T T"
Tb 0.0000 0.0000 0.0000
Ce 1.8733 1.8733 2.3137
Ce 1.8733 1.8733 5.2887
Pt 0.0000 0.0000 3.8012
```

The space-group type is P4/mmm. The calculation puts the density at 9.87 g/cm³. The calculation puts the formation energy at -436 meV/atom.

---

VASP calculation (PBE-GGA) on an optimized crystal structure of TbCe2Pt2.

The structure in extended XYZ format:
```
10
Lattice="7.9341 0.0000 0.0000 0.0000 7.9341 0.0000 0.0000 0.0000 3.9012" Properties=species:S:1:pos:R:3 pbc="T T T"
Tb 0.0000 0.0000 0.0000
Tb 3.9670 3.9670 0.0000
Ce 1.3107 2.6563 1.9506
Ce 2.6563 6.6234 1.9506
Ce 5.2778 1.3107 1.9506
Ce 6.6234 5.2778 1.9506
Pt 1.0813 5.0484 0.0000
Pt 2.8857 1.0813 0.0000
Pt 5.0484 6.8528 0.0000
Pt 6.8528 2.8857 0.0000
```

The space-group type is P4/mbm. The calculation puts the density at 11.22 g/cm³. The calculation puts the formation energy at -920 meV/atom.

---

VASP calculation (PBE-GGA) on an optimized crystal structure of Tb2CePt9.

The structure in extended XYZ format:
```
12
Lattice="2.7114 1.5654 8.8827 -2.7114 1.5654 8.8827 0.0000 -3.1308 8.8827" Properties=species:S:1:pos:R:3 pbc="T T T"
Tb 0.0000 0.0000 3.7267
Tb 0.0000 0.0000 22.9215
Ce 0.0000 0.0000 0.0000
Pt -1.3732 -0.7928 11.1631
Pt 0.0000 0.0000 8.8755
Pt 0.0000 -1.5856 15.4851
Pt -1.3732 0.7928 15.4851
Pt 0.0000 0.0000 13.3241
Pt 1.3732 -0.7928 11.1631
Pt 0.0000 1.5856 11.1631
Pt 0.0000 0.0000 17.7727
Pt 1.3732 0.7928 15.4851
```

The space-group type is R-3m. The calculation puts the density at 16.25 g/cm³. The calculation puts the formation energy at -953 meV/atom.

---

VASP calculation (PBE-GGA) on an optimized crystal structure of Tb2CePt3.

The structure in extended XYZ format:
```
12
Lattice="6.4856 -2.8975 0.0000 6.4856 2.8975 0.0000 -2.5839 0.0000 7.7705" Properties=species:S:1:pos:R:3 pbc="T T T"
Tb 1.9493 0.0074 0.6478
Tb 0.6574 -0.0074 4.5331
Tb 9.7301 0.0074 3.2374
Tb 8.4381 -0.0074 7.1226
Ce 4.5477 0.0059 5.8279
Ce 5.8397 -0.0059 1.9426
Pt 5.8397 2.8918 1.9426
Pt 3.2721 0.0070 3.2450
Pt 1.9802 -0.0070 7.1302
Pt 8.4072 0.0070 0.6402
Pt 7.1153 -0.0070 4.5255
Pt 4.5477 -2.8918 5.8279
```

The space-group type is C2/c. The calculation puts the density at 11.86 g/cm³. The calculation puts the formation energy at -1118 meV/atom.

---

VASP calculation (PBE-GGA) on an optimized crystal structure of TbCe2Pt2.

The structure in extended XYZ format:
```
5
Lattice="2.9413 -2.9519 0.0000 2.9413 2.9519 0.0000 -2.5765 0.0000 6.9028" Properties=species:S:1:pos:R:3 pbc="T T T"
Tb 0.0000 0.0000 0.0000
Ce 1.6531 1.5208 3.4514
Ce 1.6531 -1.5208 3.4514
Pt 0.2393 0.0000 5.6008
Pt 3.0669 0.0000 1.3020
```

The space-group type is C2/m. The calculation puts the density at 11.49 g/cm³. The calculation puts the formation energy at -704 meV/atom.

---

VASP calculation (PBE-GGA) on an optimized crystal structure of TbCePt.

The structure in extended XYZ format:
```
3
Lattice="0.0000 3.4823 3.4823 3.4823 0.0000 3.4823 3.4823 3.4823 0.0000" Properties=species:S:1:pos:R:3 pbc="T T T"
Tb 0.0000 0.0000 0.0000
Ce 3.4823 3.4823 3.4823
Pt 1.7412 1.7412 1.7412
```

The space-group type is F-43m. The calculation puts the density at 9.72 g/cm³. The calculation puts the formation energy at -668 meV/atom.

---

VASP calculation (PBE-GGA) on an optimized crystal structure of TbCe3Pt3.

The structure in extended XYZ format:
```
14
Lattice="4.5092 -5.3516 0.0000 4.5092 5.3516 0.0000 -0.0220 0.0000 7.2392" Properties=species:S:1:pos:R:3 pbc="T T T"
Tb 2.2460 0.0000 0.9293
Tb 6.7504 0.0000 6.3099
Ce 1.1272 0.0000 4.4649
Ce 4.5092 2.6291 0.0000
Ce 4.4982 1.9172 3.6196
Ce 4.4982 -1.9172 3.6196
Ce 4.5092 -2.6291 0.0000
Ce 7.8692 0.0000 2.7744
Pt 2.2690 2.6517 5.3280
Pt 3.8232 0.0000 5.7635
Pt 6.7274 2.6517 1.9113
Pt 2.2690 -2.6517 5.3280
Pt 5.1732 0.0000 1.4757
Pt 6.7274 -2.6517 1.9113
```

The space-group type is C2/m. The calculation puts the density at 11.07 g/cm³. The calculation puts the formation energy at -871 meV/atom.

---

VASP calculation (PBE-GGA) on an optimized crystal structure of TbCe2Pt3.

The structure in extended XYZ format:
```
24
Lattice="0.0000 5.8228 12.3407 4.1184 0.0000 12.3407 4.1184 5.8228 0.0000" Properties=species:S:1:pos:R:3 pbc="T T T"
Tb 1.0296 1.4557 1.0283
Tb 1.0296 1.4557 5.1421
Tb 7.2073 10.1899 19.5394
Tb 7.2073 10.1899 23.6532
Ce 3.0888 4.3671 3.0817
Ce 3.0888 4.3671 7.1975
Ce 5.1480 7.2785 9.2520
Ce 3.0888 4.3671 11.3136
Ce 5.1480 7.2785 13.3679
Ce 3.0888 4.3671 15.4294
Ce 5.1480 7.2785 17.4839
Ce 5.1480 7.2785 21.5998
Pt 3.0959 1.4643 7.2051
Pt 5.1365 4.3671 9.2555
Pt 3.0817 1.4643 11.3060
Pt 5.1409 4.3757 13.3755
Pt 7.1957 7.2785 15.4259
Pt 5.1551 4.3757 17.4763
Pt 3.0817 7.2700 7.2051
Pt 1.0411 4.3671 9.2555
Pt 3.0959 7.2700 11.3060
Pt 5.1551 10.1814 13.3755
Pt 3.1003 7.2785 15.4259
Pt 5.1409 10.1814 17.4763
```

The space-group type is Fddd. The calculation puts the density at 11.50 g/cm³. The calculation puts the formation energy at -1091 meV/atom.

---

Final energy
In order: -6.071; -6.636; -6.750; -6.671; -6.420; -6.203; -6.664; -6.861
Unit: eV per atom